Entry 1:
Computed, not measured: a relaxed structure of ScReH3 at the PBEsol level of DFT.

```
data_ScReH3
_cell_length_a 3.461
_cell_length_b 3.461
_cell_length_c 3.461
_cell_angle_alpha 90.00
_cell_angle_beta 90.00
_cell_angle_gamma 90.00
_symmetry_space_group_name_H-M 'P m -3 m'
_symmetry_Int_Tables_number 221
_symmetry_space_group_name_Hall '-P 4 2 3'
loop_
_atom_site_label
_atom_site_fract_x
_atom_site_fract_y
_atom_site_fract_z
Sc1 0.000 0.000 0.000
Re1 0.500 0.500 0.500
H1 0.000 0.000 0.500
```

Crystal system   cubic
E   -5.438 eV per atom
Calculated volume   41.45 Å³ per cell

Entry 2:
Computed, not measured: a relaxed structure of La9B3C6I5 at the PBEsol level of DFT.

```
data_La9B3C6I5
_cell_length_a 3.884
_cell_length_b 33.376
_cell_length_c 8.170
_cell_angle_alpha 90.00
_cell_angle_beta 90.00
_cell_angle_gamma 90.00
_symmetry_space_group_name_H-M 'P m m n'
_symmetry_Int_Tables_number 59
loop_
_symmetry_equiv_pos_as_xyz
'x,y,z'
'-x,-y,-z'
'-x+1/2,-y+1/2,z'
'x+1/2,y+1/2,-z'
'x+1/2,-y,-z'
'-x+1/2,y,z'
'-x,y+1/2,-z'
'x,-y+1/2,z'
loop_
_atom_site_label
_atom_site_fract_x
_atom_site_fract_y
_atom_site_fract_z
La1 0.250 0.010 0.187
La2 0.250 0.096 0.918
La3 0.250 0.134 0.335
La4 0.250 0.695 0.952
La5 0.250 0.750 0.566
B1 0.250 0.250 0.216
B2 0.250 0.580 0.868
C1 0.250 0.207 0.262
C2 0.250 0.544 0.974
C3 0.250 0.625 0.873
I1 0.250 0.049 0.571
I2 0.250 0.250 0.786
I3 0.250 0.654 0.335
```

Crystal system   orthorhombic
Calculated volume   1059.19 Å³ per cell
Raw formation energy   -803 meV per atom

Entry 3:
Computed, not measured: a relaxed structure of LiHg2Au2 at the PBEsol level of DFT.

```
data_LiHg2Au2
_cell_length_a 3.844
_cell_length_b 3.844
_cell_length_c 14.077
_cell_angle_alpha 90.00
_cell_angle_beta 90.00
_cell_angle_gamma 90.00
_symmetry_space_group_name_H-M 'I 4/m m m'
_symmetry_Int_Tables_number 139
_symmetry_space_group_name_Hall '-I 4 2'
loop_
_atom_site_label
_atom_site_fract_x
_atom_site_fract_y
_atom_site_fract_z
Li1 0.000 0.000 0.000
Hg1 0.000 0.000 0.402
Au1 0.000 0.500 0.250
```

Crystal system   tetragonal
Energy relative to the elements   -0.110 eV/atom
Calculated volume   208.05 Å³ per cell

Entry 4:
Computed, not measured: a relaxed structure of Lu2InAg at the PBEsol level of DFT.

```
data_Lu2InAg
_cell_length_a 7.143
_cell_length_b 7.143
_cell_length_c 7.143
_cell_angle_alpha 90.00
_cell_angle_beta 90.00
_cell_angle_gamma 90.00
_symmetry_space_group_name_H-M 'F m -3 m'
_symmetry_Int_Tables_number 225
_symmetry_space_group_name_Hall '-F 4 2 3'
loop_
_atom_site_label
_atom_site_fract_x
_atom_site_fract_y
_atom_site_fract_z
Lu1 0.250 0.250 0.250
In1 0.000 0.000 0.000
Ag1 0.000 0.000 0.500
```

Crystal system   cubic
Energy relative to the elements   -0.418 eV/atom
Calculated volume   364.52 Å³ per cell

Entry 5:
Computed, not measured: a relaxed structure of Zr2TlTe at the PBEsol level of DFT.

```
data_Zr2TlTe
_cell_length_a 4.242
_cell_length_b 4.242
_cell_length_c 9.931
_cell_angle_alpha 90.00
_cell_angle_beta 90.00
_cell_angle_gamma 90.00
_symmetry_space_group_name_H-M 'I -4 m 2'
_symmetry_Int_Tables_number 119
_symmetry_space_group_name_Hall 'I -4 -2'
loop_
_atom_site_label
_atom_site_fract_x
_atom_site_fract_y
_atom_site_fract_z
Zr1 0.000 0.000 0.000
Zr2 0.000 0.500 0.250
Tl1 0.000 0.000 0.500
Te1 0.000 0.500 0.750
```

Crystal system   tetragonal
Calculated volume   178.73 Å³ per cell
Raw formation energy   -237 meV per atom

Entry 6:
Computed, not measured: a relaxed structure of InRuSe at the PBEsol level of DFT.

```
data_InRuSe
_cell_length_a 6.209
_cell_length_b 6.209
_cell_length_c 6.209
_cell_angle_alpha 90.00
_cell_angle_beta 90.00
_cell_angle_gamma 90.00
_symmetry_space_group_name_H-M 'F -4 3 m'
_symmetry_Int_Tables_number 216
_symmetry_space_group_name_Hall 'F -4 2 3'
loop_
_atom_site_label
_atom_site_fract_x
_atom_site_fract_y
_atom_site_fract_z
In1 0.000 0.000 0.000
Ru1 0.000 0.000 0.500
Se1 0.250 0.250 0.250
```

Crystal system   cubic
Calculated volume   239.36 Å³ per cell
Raw formation energy   687 meV per atom

Entry 7:
Computed, not measured: a relaxed structure of CuSbI2N at the PBEsol level of DFT.

```
data_CuSbI2N
_cell_length_a 5.577
_cell_length_b 5.577
_cell_length_c 3.644
_cell_angle_alpha 90.00
_cell_angle_beta 90.00
_cell_angle_gamma 90.00
_symmetry_space_group_name_H-M 'P 4/m m m'
_symmetry_Int_Tables_number 123
_symmetry_space_group_name_Hall '-P 4 2'
loop_
_atom_site_label
_atom_site_fract_x
_atom_site_fract_y
_atom_site_fract_z
Cu1 0.000 0.000 0.000
Sb1 0.500 0.500 0.500
I1 0.000 0.500 0.000
N1 0.000 0.000 0.500
```

Crystal system   tetragonal
Calculated volume   113.35 Å³ per cell
Raw formation energy   696 meV per atom

Entry 8:
Computed, not measured: a relaxed structure of Nb2HgPbBr at the PBEsol level of DFT.

```
data_Nb2HgPbBr
_cell_length_a 5.324
_cell_length_b 5.324
_cell_length_c 5.485
_cell_angle_alpha 90.00
_cell_angle_beta 90.00
_cell_angle_gamma 90.00
_symmetry_space_group_name_H-M 'P 4/m m m'
_symmetry_Int_Tables_number 123
_symmetry_space_group_name_Hall '-P 4 2'
loop_
_atom_site_label
_atom_site_fract_x
_atom_site_fract_y
_atom_site_fract_z
Nb1 0.000 0.500 0.000
Hg1 0.000 0.000 0.000
Pb1 0.000 0.000 0.500
Br1 0.500 0.500 0.500
```

Crystal system   tetragonal
Calculated volume   155.50 Å³ per cell
Raw formation energy   1644 meV per atom

Entry 9:
Computed, not measured: a relaxed structure of BaCoCl at the PBEsol level of DFT.

```
data_BaCoCl
_cell_length_a 6.416
_cell_length_b 6.416
_cell_length_c 6.416
_cell_angle_alpha 90.00
_cell_angle_beta 90.00
_cell_angle_gamma 90.00
_symmetry_space_group_name_H-M 'F -4 3 m'
_symmetry_Int_Tables_number 216
_symmetry_space_group_name_Hall 'F -4 2 3'
loop_
_atom_site_label
_atom_site_fract_x
_atom_site_fract_y
_atom_site_fract_z
Ba1 0.000 0.000 0.000
Co1 0.250 0.250 0.750
Cl1 0.000 0.000 0.500
```

Crystal system   cubic
Calculated volume   264.07 Å³ per cell
Raw formation energy   114 meV per atom

Entry 10:
Computed, not measured: a relaxed structure of LiCdAg at the PBEsol level of DFT.

```
data_LiCdAg
_cell_length_a 2.9445
_cell_length_b 2.9445
_cell_length_c 6.9750
_cell_angle_alpha 90.00
_cell_angle_beta 90.00
_cell_angle_gamma 120.00
_symmetry_space_group_name_H-M 'P 3 m 1'
_symmetry_Int_Tables_number 156
_symmetry_space_group_name_Hall 'P 3 -2"'
loop_
_atom_site_label
_atom_site_fract_x
_atom_site_fract_y
_atom_site_fract_z
Li1 0.0000 0.0000 0.0000
Cd1 0.6667 0.3333 0.3417
Ag1 0.3333 0.6667 0.6916
```

Crystal system   trigonal
Energy relative to the elements   -0.126 eV/atom
Calculated volume   52.37 Å³ per cell

Entry 11:
Computed, not measured: a relaxed structure of Mg2InSb at the PBEsol level of DFT.

```
data_Mg2InSb
_cell_length_a 6.639
_cell_length_b 8.369
_cell_length_c 3.349
_cell_angle_alpha 90.00
_cell_angle_beta 90.39
_cell_angle_gamma 90.00
_symmetry_space_group_name_H-M 'C 1 2/m 1'
_symmetry_Int_Tables_number 12
_symmetry_space_group_name_Hall '-C 2y'
loop_
_atom_site_label
_atom_site_fract_x
_atom_site_fract_y
_atom_site_fract_z
Mg1 0.250 0.250 0.000
In1 0.000 0.000 0.500
Sb1 0.000 0.500 0.500
```

Crystal system   monoclinic
Calculated volume   186.09 Å³ per cell
Raw formation energy   -143 meV per atom

Entry 12:
Computed, not measured: a relaxed structure of Ti3FeSn2P6O24 at the PBEsol level of DFT.

```
data_Ti3FeSn2P6O24
_cell_length_a 8.4610
_cell_length_b 8.4610
_cell_length_c 22.9752
_cell_angle_alpha 90.00
_cell_angle_beta 90.00
_cell_angle_gamma 120.00
_symmetry_space_group_name_H-M 'R 3'
_symmetry_Int_Tables_number 146
_symmetry_space_group_name_Hall 'R 3'
loop_
_atom_site_label
_atom_site_fract_x
_atom_site_fract_y
_atom_site_fract_z
Ti1 0.0000 0.0000 0.0000
Ti2 0.0000 0.0000 0.2079
Ti3 0.0000 0.0000 0.6998
Fe1 0.0000 0.0000 0.5106
Sn1 0.0000 0.0000 0.3753
Sn2 0.0000 0.0000 0.8402
P1 0.0027 0.2914 0.6025
P2 0.0521 0.6714 0.7706
O1 0.0045 0.8272 0.7650
O2 0.0132 0.1889 0.9501
O3 0.0522 0.2046 0.2564
O4 0.0721 0.2300 0.5511
O5 0.1475 0.6698 0.7145
O6 0.1588 0.4635 0.3251
O7 0.1705 0.7122 0.8249
O8 0.1812 0.7198 0.1097
```

Crystal system   trigonal
Calculated volume   1424.42 Å³ per cell
Raw formation energy   -2296 meV per atom